The following is a DFT calculation (GGA-PBEsol) of Y2AlPbW after structural relaxation.

Computed properties:
ΔE_f: 737 kJ/mol of formula units
Raw total energy: -5.580 eV per atom
N(E_F): 5.22 states/eV per cell
Magnetization: 3.84 μB/f.u.

a b c (Å): 5.615 5.615 4.869
angles (deg): 90.00 90.00 90.00
Positions (direct):
Y (0.000, 0.500, 0.000)
Y (0.500, 0.000, 0.000)
Al (0.000, 0.000, 0.500)
Pb (0.000, 0.000, 0.000)
W (0.500, 0.500, 0.500)